Record 1
Tb6PmPrTm2 | GGA-PBE | relaxed

```
20
Lattice="9.125 -1.961 -2.035 0.834 8.536 -1.932 0.834 -2.248 8.459" Properties=species:S:1:pos:R:3 pbc="T T T"
Tb 1.243 -0.840 6.058
Tb 4.102 6.761 1.140
Tb 6.632 1.347 3.772
Tb 8.665 -0.092 5.781
Tb 8.723 -0.373 1.987
Tb 5.805 5.105 -1.633
Tb 4.160 2.981 0.719
Tb 6.690 -2.434 3.351
Tb 9.549 5.168 -1.568
Tb 4.987 -0.777 6.124
Tb 2.128 4.419 -1.290
Tb 2.069 4.700 2.503
Pm 3.115 7.707 -2.115
Pm 7.677 -3.380 6.606
Pr 7.677 2.677 0.770
Pr 3.115 1.651 3.721
Tm 5.373 4.389 3.470
Tm 0.857 2.003 0.994
Tm 9.935 2.324 3.497
Tm 5.419 -0.062 1.021
```

Output
Size of the total moment (μB per cell): 0.0
ΔE_f (meV/atom): 122


Record 2
Sm8C3Cl4F | GGA-PBE | relaxed

```
16
Lattice="-7.393 0.627 0.860 -0.518 -8.065 1.428 4.615 3.935 4.361" Properties=species:S:1:pos:R:3 pbc="T T T"
Sm 0.082 -3.555 3.296
Sm 0.335 -0.186 3.012
Sm -3.631 -3.317 3.637
Sm -1.231 -1.399 5.764
Sm -2.065 -2.104 0.885
Sm 2.263 -1.695 5.357
Sm -3.379 0.053 3.353
Sm -5.560 -1.807 1.292
F -0.259 -4.032 0.714
Cl -3.697 0.313 0.430
Cl -1.389 2.281 2.611
Cl 2.307 1.968 2.180
Cl 0.000 0.000 0.000
C 2.048 -2.065 2.894
C -3.955 -3.719 1.144
C -1.648 -1.751 3.325
```

Output
Size of the total moment (μB per cell): 0.0
Energy relative to the elements, uncorrected (eV/atom): -1.24